1.
Here is a geometry-optimized SmH2Pt structure from the Alexandria database. Energies are from PBE-GGA.

Unit cell a=4.2067 b=4.2067 c=11.1862 alpha=90.00 beta=90.00 gamma=120.00
Space group R-3m (No. 166, hexagonal axes)
Inequivalent atoms, fractional coordinates:
Sm 0.0000 0.0000 0.0000
H 0.0000 0.0000 0.3502
Pt 0.0000 0.0000 0.5000

Excess energy over the best structure of this formula in the dataset in meV per atom: 0.0

2.
Here is a geometry-optimized Sm2HPt4 structure from the Alexandria database. Energies are from PBE-GGA.

Unit cell a=4.124 b=4.124 c=14.934 alpha=90.00 beta=90.00 gamma=90.00
Space group I4/mmm (No. 139)
Inequivalent atoms, fractional coordinates:
Sm 0.000 0.000 0.163
H 0.000 0.000 0.500
Pt 0.000 0.000 0.363
Pt 0.000 0.500 0.000

Calculated total energy in eV for the cell shown: -85.09

> Number 2 is which compound?

Sm2HPt4